[1]
B4OsW GGA-PBEsol optimized geometry; SG = P-6m2; energy of formation from the pure elements = -32 kJ per mole of atoms; size of the total moment = 0.00 μB per formula unit
1.0
2.9089 0.0000 0.0000
-1.4545 2.5192 0.0000
0.0000 0.0000 7.5069
B Os W
4 1 1
direct
0.0000 0.0000 0.2936
0.3333 0.6667 0.2013
0.3333 0.6667 0.7987
0.0000 0.0000 0.7064
0.0000 0.0000 0.0000
0.3333 0.6667 0.5000

=====

[2]
B2OsW2 GGA-PBEsol optimized geometry; SG = P4/mbm; energy of formation from the pure elements = -24 kJ per mole of atoms; relative energy among the computed polymorphs = 0.0603 eV/atom; size of the total moment = 0.00 μB per formula unit
1.0
3.6601 0.0000 0.0000
0.0000 5.5433 0.0000
0.0000 0.0000 5.5433
B Os W
4 2 4
direct
0.0000 0.3829 0.8829
0.0000 0.8829 0.6171
0.0000 0.6171 0.1171
0.0000 0.1171 0.3829
0.0000 0.0000 0.0000
0.0000 0.5000 0.5000
0.5000 0.1704 0.6704
0.5000 0.6704 0.8296
0.5000 0.8296 0.3296
0.5000 0.3296 0.1704

=====

[3]
Y3B6Os8 GGA-PBEsol optimized geometry; SG = Fmmm; energy of formation from the pure elements = -38 kJ per mole of atoms; size of the total moment = 0.00 μB per formula unit
1.0
-2.8943 0.7665 4.5842
-3.7410 -3.6714 1.5218
4.6724 -3.9504 6.8804
Y B Os
3 6 8
direct
0.0000 0.0000 0.0000
0.1791 0.0000 0.6418
0.8209 0.0000 0.3582
0.8219 0.7071 0.6492
0.1781 0.2929 0.3508
0.4710 0.7071 0.3508
0.6857 0.6287 0.0000
0.5290 0.2929 0.6492
0.3143 0.3713 0.0000
0.4217 0.0000 0.1565
0.0911 0.5000 0.8177
0.5911 0.5000 0.8177
0.4089 0.5000 0.1823
0.5783 0.0000 0.8435
0.7500 0.5000 0.5000
0.9089 0.5000 0.1823
0.2500 0.5000 0.5000

=====

[4]
YB4Os GGA-PBEsol optimized geometry; SG = Pbam; energy of formation from the pure elements = -62 kJ per mole of atoms; size of the total moment = 0.00 μB per formula unit
1.0
-1.1586 -1.0735 3.1561
4.6422 -3.6760 0.4539
6.0944 8.3219 5.0678
Y B Os
4 16 4
direct
0.0000 0.6285 0.6499
0.0000 0.3715 0.3501
0.0000 0.1285 0.8501
0.0000 0.8715 0.1499
0.5000 0.9754 0.6917
0.5000 0.0246 0.3083
0.5000 0.4754 0.8083
0.5000 0.5246 0.1917
0.5000 0.7893 0.8143
0.5000 0.2107 0.1857
0.5000 0.2893 0.6857
0.5000 0.7107 0.3143
0.5000 0.8638 0.9697
0.5000 0.1362 0.0303
0.5000 0.3638 0.5303
0.5000 0.6362 0.4697
0.5000 0.8874 0.5468
0.5000 0.1126 0.4532
0.5000 0.3874 0.9532
0.5000 0.6126 0.0468
0.0000 0.6403 0.9070
0.0000 0.3597 0.0930
0.0000 0.1403 0.5930
0.0000 0.8597 0.4070

=====

[5]
Zr2B2Os GGA-PBEsol optimized geometry; SG = P4/mbm; energy of formation from the pure elements = -78 kJ per mole of atoms; size of the total moment = 0.00 μB per formula unit
1.0
3.4363 0.0000 0.0000
0.0000 6.1323 0.0000
0.0000 0.0000 6.1323
B Os Zr
4 2 4
direct
0.0000 0.3921 0.8921
0.0000 0.8921 0.6079
0.0000 0.6079 0.1079
0.0000 0.1079 0.3921
0.0000 0.0000 0.0000
0.0000 0.5000 0.5000
0.5000 0.1800 0.6800
0.5000 0.6800 0.8200
0.5000 0.8200 0.3200
0.5000 0.3200 0.1800

=====

[6]
ZrB3Os GGA-PBEsol optimized geometry; SG = Pm-3m; energy of formation from the pure elements = 45 kJ per mole of atoms; size of the total moment = 0.00 μB per formula unit
1.0
-2.9106 2.6934 0.4641
-2.6692 -2.9470 0.3632
0.5876 -0.0455 3.9489
B Os Zr
3 1 1
direct
0.0000 0.5000 0.0000
0.0000 0.0000 0.5000
0.5000 0.0000 0.0000
0.0000 0.0000 0.0000
0.5000 0.5000 0.5000

=====

Question: Which value of energy of formation from the pure elements does entry 3 give?
Answer: -38 kJ per mole of atoms

=====

Question: Which value of energy of formation from the pure elements does entry 3 give?
Answer: -38 kJ per mole of atoms

=====

Question: energy of formation from the pure elements of number 2 (B2OsW2)?
Answer: -24 kJ per mole of atoms